[1]
Density functional theory data (GGA-PBE) for a relaxed Sr2NiW crystal.

Its uncorrected energy is -4.8223 eV per atom. The calculation puts the energy above the most stable polymorph in this dataset at 103 meV/atom. The calculation puts the total magnetic moment at 0.0 μB per formula unit. For the formation energy, the calculation gives 702 meV per atom.

The structure belongs to space group Imm2 (No. 44); the cell edges are 3.6644, 5.2264 and 11.5222 Å and the angles 90.00°, 90.00° and 90.00°. The asymmetric unit holds Sr at (0.0000, 0.0000, 0.0000), Sr at (0.0000, 0.5000, 0.2175), Ni at (0.0000, 0.5000, 0.7858) and W at (0.0000, 0.0000, 0.4068).

---

[2]
Density functional theory data (GGA-PBE) for a relaxed Sc4FeRh5 crystal.

Its uncorrected energy is -7.8622 eV per atom. The calculation puts the total magnetic moment at 4.2 μB per formula unit. For the formation energy, the calculation gives -808 meV per atom.

The structure belongs to space group P4/mmm (No. 123); the cell edges are 3.1994, 3.1994 and 15.7692 Å and the angles 90.00°, 90.00° and 90.00°. The asymmetric unit holds Sc at (0.0000, 0.0000, 0.1034), Sc at (0.0000, 0.0000, 0.3101), Fe at (0.0000, 0.0000, 0.5000), Rh at (0.5000, 0.5000, 0.0000), Rh at (0.5000, 0.5000, 0.2055) and Rh at (0.5000, 0.5000, 0.4103).

---

[3]
Density functional theory data (GGA-PBE) for a relaxed BiW2S crystal.

Its uncorrected energy is -7.4453 eV per atom. The calculation puts the total magnetic moment at 0.0 μB per formula unit. Its energy relative to the elements, uncorrected is 1.03 eV per atom.

The structure belongs to space group Fm-3m (No. 225); the cell edges are 6.5341, 6.5341 and 6.5341 Å and the angles 90.00°, 90.00° and 90.00°. The asymmetric unit holds Bi at (0.0000, 0.0000, 0.0000), W at (0.2500, 0.2500, 0.2500) and S at (0.0000, 0.0000, 0.5000).

---

[4]
Density functional theory data (GGA-PBE) for a relaxed PmCd2Hg6 crystal.

Its uncorrected energy is -1.0894 eV per atom. The calculation puts the energy above the most stable polymorph in this dataset at 0 meV/atom. The calculation puts the total magnetic moment at 0.0 μB per formula unit. For the formation energy, the calculation gives -157 meV per atom.

The structure belongs to space group P-3m1 (No. 164); the cell edges are 5.1685, 5.1685 and 9.7147 Å and the angles 90.00°, 90.00° and 120.00°. The asymmetric unit holds Pm at (0.0000, 0.0000, 0.0000), Cd at (0.3333, 0.6667, 0.1881), Hg at (0.0000, 0.0000, 0.3321), Hg at (0.3333, 0.6667, 0.5201) and Hg at (0.3333, 0.6667, 0.8561).

---

[5]
Density functional theory data (GGA-PBE) for a relaxed Nd4GaCu2 crystal.

Its uncorrected energy is -4.4876 eV per atom. The calculation puts the energy above the most stable polymorph in this dataset at 0 meV/atom. The calculation puts the total magnetic moment at 0.7 μB per formula unit. For the formation energy, the calculation gives -160 meV per atom.

The structure belongs to space group R-3m (No. 166, hexagonal axes); the cell edges are 5.0965, 5.0965 and 24.5559 Å and the angles 90.00°, 90.00° and 120.00°. The asymmetric unit holds Nd at (0.0000, 0.0000, 0.1190), Nd at (0.0000, 0.0000, 0.3720), Ga at (0.0000, 0.0000, 0.5000) and Cu at (0.0000, 0.0000, 0.2448).

---

[6]
Density functional theory data (GGA-PBE) for a relaxed Ho3CdGa2 crystal.

Its uncorrected energy is -3.9407 eV per atom. The calculation puts the total magnetic moment at 0.0 μB per formula unit. For the formation energy, the calculation gives -490 meV per atom.

The structure belongs to space group P4/mmm (No. 123); the cell edges are 3.4999, 3.4999 and 11.5036 Å and the angles 90.00°, 90.00° and 90.00°. The asymmetric unit holds Ho at (0.0000, 0.0000, 0.0000), Ho at (0.0000, 0.0000, 0.3183), Cd at (0.5000, 0.5000, 0.5000) and Ga at (0.5000, 0.5000, 0.1629).

---

[7]
Density functional theory data (GGA-PBE) for a relaxed PaAl2Ni7 crystal.

Its uncorrected energy is -5.7022 eV per atom. The calculation puts the total magnetic moment at 0.0 μB per formula unit. For the formation energy, the calculation gives 43 meV per atom.

The structure belongs to space group Cmmm (No. 65); the cell edges are 6.5079, 11.7968 and 4.2036 Å and the angles 90.00°, 90.00° and 90.00°. The asymmetric unit holds Pa at (0.0000, 0.0000, 0.0000), Al at (0.0000, 0.2970, 0.5000), Ni at (0.0000, 0.2037, 0.0000), Ni at (0.0000, 0.5000, 0.5000) and Ni at (0.1838, 0.1091, 0.5000).

---

[8]
Density functional theory data (GGA-PBE) for a relaxed ScBeVI crystal.

Its uncorrected energy is -5.0425 eV per atom. The calculation puts the energy above the most stable polymorph in this dataset at 0 meV/atom. The calculation puts the total magnetic moment at 0.0 μB per formula unit. Its energy relative to the elements, uncorrected is 0.14 eV per atom.

The structure belongs to space group R3m (No. 160, hexagonal axes); the cell edges are 3.6961, 3.6961 and 19.3685 Å and the angles 90.00°, 90.00° and 120.00°. The asymmetric unit holds Sc at (0.0000, 0.0000, 0.0000), Be at (0.0000, 0.0000, 0.4066), V at (0.0000, 0.0000, 0.7832) and I at (0.0000, 0.0000, 0.2212).

---

[9]
Density functional theory data (GGA-PBE) for a relaxed CaHgPbBr6 crystal.

Its uncorrected energy is -2.8746 eV per atom. The calculation puts the total magnetic moment at 0.0 μB per formula unit. Its energy relative to the elements, uncorrected is -1.09 eV per atom.

The structure belongs to space group P-31c (No. 163); the cell edges are 7.3097, 7.3097 and 13.3775 Å and the angles 90.00°, 90.00° and 120.00°. The asymmetric unit holds Ca at (0.3333, 0.6667, 0.2500), Hg at (0.3333, 0.6667, 0.7500), Pb at (0.0000, 0.0000, 0.0000) and Br at (0.0061, 0.3523, 0.6276).

---

[10]
Density functional theory data (GGA-PBE) for a relaxed CrCoMoC2 crystal.

Its uncorrected energy is -7.3422 eV per atom. The calculation puts the energy above the most stable polymorph in this dataset at 165 meV/atom. The calculation puts the total magnetic moment at 0.0 μB per formula unit. For the formation energy, the calculation gives 1859 meV per atom.

The structure belongs to space group P4/mmm (No. 123); the cell edges are 3.7006, 3.7006 and 4.7234 Å and the angles 90.00°, 90.00° and 90.00°. The asymmetric unit holds Cr at (0.0000, 0.0000, 0.0000), Co at (0.5000, 0.5000, 0.5000), Mo at (0.0000, 0.0000, 0.5000) and C at (0.0000, 0.5000, 0.0000).

---

[11]
Density functional theory data (GGA-PBE) for a relaxed NaHg3Pb3 crystal.

Its uncorrected energy is -1.6899 eV per atom. The calculation puts the energy above the most stable polymorph in this dataset at 241 meV/atom. The calculation puts the total magnetic moment at 0.0 μB per formula unit. For the formation energy, the calculation gives 217 meV per atom.

The structure belongs to space group Pm-3n (No. 223); the cell edges are 8.2934, 8.2934 and 8.2934 Å and the angles 90.00°, 90.00° and 90.00°. The asymmetric unit holds Na at (0.0000, 0.0000, 0.0000), Hg at (0.0000, 0.2500, 0.5000) and Pb at (0.0000, 0.5000, 0.2500).

---

[12]
Density functional theory data (GGA-PBE) for a relaxed MgBi2O4 crystal.

Its uncorrected energy is -5.6516 eV per atom. The calculation puts the energy above the most stable polymorph in this dataset at 123 meV/atom. The calculation puts the total magnetic moment at 0.0 μB per formula unit. Its energy relative to the elements, uncorrected is -1.48 eV per atom.

The structure belongs to space group R3m (No. 160, hexagonal axes); the cell edges are 6.9303, 6.9303 and 16.1189 Å and the angles 90.00°, 90.00° and 120.00°. The asymmetric unit holds Mg at (0.0000, 0.0000, 0.0000), Mg at (0.0000, 0.0000, 0.3770), Bi at (0.0000, 0.0000, 0.7631), Bi at (0.0034, 0.5017, 0.8780), O at (0.0000, 0.0000, 0.1272), O at (0.0000, 0.0000, 0.6293), O at (0.0451, 0.5225, 0.1189) and O at (0.1699, 0.3398, 0.9605).

---

[13]
Density functional theory data (GGA-PBE) for a relaxed CdSbP crystal.

Its uncorrected energy is -3.1277 eV per atom. The calculation puts the energy above the most stable polymorph in this dataset at 367 meV/atom. The calculation puts the total magnetic moment at 0.0 μB per formula unit. Its energy relative to the elements, uncorrected is 0.35 eV per atom.

The structure belongs to space group F-43m (No. 216); the cell edges are 6.7290, 6.7290 and 6.7290 Å and the angles 90.00°, 90.00° and 90.00°. The asymmetric unit holds Cd at (0.0000, 0.0000, 0.0000), Sb at (0.0000, 0.0000, 0.5000) and P at (0.2500, 0.2500, 0.7500).

---

[14]
Density functional theory data (GGA-PBE) for a relaxed RbHg2ClF crystal.

Its uncorrected energy is -1.9955 eV per atom. The calculation puts the total magnetic moment at 1.0 μB per formula unit. Its energy relative to the elements, uncorrected is -0.94 eV per atom.

The structure belongs to space group P4/mmm (No. 123); the cell edges are 5.1534, 5.1534 and 5.8300 Å and the angles 90.00°, 90.00° and 90.00°. The asymmetric unit holds Rb at (0.0000, 0.0000, 0.0000), Hg at (0.0000, 0.5000, 0.5000), Cl at (0.5000, 0.5000, 0.0000) and F at (0.0000, 0.0000, 0.5000).

---

[15]
Density functional theory data (GGA-PBE) for a relaxed CrTe2Ir crystal.

Its uncorrected energy is -5.7688 eV per atom. The calculation puts the energy above the most stable polymorph in this dataset at 495 meV/atom. The calculation puts the total magnetic moment at 4.0 μB per formula unit. Its energy relative to the elements, uncorrected is 0.42 eV per atom.

The structure belongs to space group I4/mmm (No. 139); the cell edges are 5.4629, 5.4629 and 6.0128 Å and the angles 90.00°, 90.00° and 90.00°. The asymmetric unit holds Cr at (0.0000, 0.0000, 0.0000), Te at (0.0000, 0.5000, 0.0000) and Ir at (0.0000, 0.0000, 0.5000).

---

[16]
Density functional theory data (GGA-PBE) for a relaxed NdHf2CuN4 crystal.

Its uncorrected energy is -9.0647 eV per atom. The calculation puts the total magnetic moment at 0.0 μB per formula unit. Its energy relative to the elements, uncorrected is -1.31 eV per atom.

The structure belongs to space group Cmcm (No. 63); the cell edges are 3.2960, 10.8938 and 11.1894 Å and the angles 90.00°, 90.00° and 90.00°. The asymmetric unit holds Nd at (0.0000, 0.1058, 0.2500), Hf at (0.0000, 0.3664, 0.0559), Cu at (0.0000, 0.1591, 0.7500), N at (0.0000, 0.0000, 0.0000), N at (0.0000, 0.2648, 0.6064) and N at (0.0000, 0.4468, 0.2500).

---

[17]
Density functional theory data (GGA-PBE) for a relaxed PrTm2In crystal.

Its uncorrected energy is -4.3678 eV per atom. The calculation puts the energy above the most stable polymorph in this dataset at 0 meV/atom. The calculation puts the total magnetic moment at 0.0 μB per formula unit. For the formation energy, the calculation gives -253 meV per atom.

The structure belongs to space group P4/mmm (No. 123); the cell edges are 4.8922, 4.8922 and 4.8297 Å and the angles 90.00°, 90.00° and 90.00°. The asymmetric unit holds Pr at (0.0000, 0.0000, 0.0000), Tm at (0.0000, 0.5000, 0.5000) and In at (0.5000, 0.5000, 0.0000).

---

[18]
Density functional theory data (GGA-PBE) for a relaxed Na2TlIO crystal.

Its uncorrected energy is -3.2480 eV per atom. The calculation puts the energy above the most stable polymorph in this dataset at 0 meV/atom. The calculation puts the total magnetic moment at 0.0 μB per formula unit. Its energy relative to the elements, uncorrected is -0.95 eV per atom.

The structure belongs to space group P4/mmm (No. 123); the cell edges are 4.8844, 4.8844 and 5.3180 Å and the angles 90.00°, 90.00° and 90.00°. The asymmetric unit holds Na at (0.0000, 0.5000, 0.0000), Tl at (0.0000, 0.0000, 0.5000), I at (0.5000, 0.5000, 0.5000) and O at (0.0000, 0.0000, 0.0000).

---

[19]
Density functional theory data (GGA-PBE) for a relaxed Tb4Tm3Cu4 crystal.

Its uncorrected energy is -4.4577 eV per atom. The calculation puts the total magnetic moment at 0.0 μB per formula unit. For the formation energy, the calculation gives -65 meV per atom.

The structure belongs to space group Immm (No. 71); the cell edges are 4.8267, 7.2642 and 15.0570 Å and the angles 90.00°, 90.00° and 90.00°. The asymmetric unit holds Tb at (0.0000, 0.2212, 0.1722), Tm at (0.0000, 0.0000, 0.3971), Tm at (0.0000, 0.5000, 0.5000), Cu at (0.0000, 0.3328, 0.0000) and Cu at (0.0000, 0.5000, 0.3021).

---

[20]
Density functional theory data (GGA-PBE) for a relaxed K3Ag2Hg crystal.

Its uncorrected energy is -1.5900 eV per atom. The calculation puts the total magnetic moment at 0.0 μB per formula unit. For the formation energy, the calculation gives -40 meV per atom.

The structure belongs to space group P2_1/c (No. 14); the cell edges are 8.8191, 9.6494 and 10.6642 Å and the angles 90.00°, 104.32° and 90.00°. The asymmetric unit holds K at (0.1650, 0.1062, 0.4602), K at (0.2229, 0.0479, 0.1049), K at (0.3111, 0.7136, 0.3503), Ag at (0.0740, 0.1118, 0.7634), Ag at (0.4891, 0.5554, 0.1226) and Hg at (0.4106, 0.1514, 0.8115).

---

[21]
Density functional theory data (GGA-PBE) for a relaxed TbCeGaAu crystal.

Its uncorrected energy is -4.7858 eV per atom. The calculation puts the total magnetic moment at 1.2 μB per formula unit. For the formation energy, the calculation gives -569 meV per atom.

The structure belongs to space group F-43m (No. 216); the cell edges are 7.3197, 7.3197 and 7.3197 Å and the angles 90.00°, 90.00° and 90.00°. The asymmetric unit holds Tb at (0.0000, 0.0000, 0.0000), Ce at (0.0000, 0.0000, 0.5000), Ga at (0.2500, 0.2500, 0.2500) and Au at (0.2500, 0.2500, 0.7500).

---

[22]
Density functional theory data (GGA-PBE) for a relaxed CaGdZn4 crystal.

Its uncorrected energy is -3.8113 eV per atom. The calculation puts the total magnetic moment at 7.1 μB per formula unit. For the formation energy, the calculation gives -282 meV per atom.

The structure belongs to space group F-43m (No. 216); the cell edges are 7.8109, 7.8109 and 7.8109 Å and the angles 90.00°, 90.00° and 90.00°. The asymmetric unit holds Ca at (0.0000, 0.0000, 0.0000), Gd at (0.2500, 0.2500, 0.2500) and Zn at (0.1241, 0.1241, 0.6241).

---

[23]
Density functional theory data (GGA-PBE) for a relaxed CaLaMo crystal.

Its uncorrected energy is -4.5701 eV per atom. The calculation puts the energy above the most stable polymorph in this dataset at 772 meV/atom. The calculation puts the total magnetic moment at 3.0 μB per formula unit. For the formation energy, the calculation gives 1350 meV per atom.

The structure belongs to space group F-43m (No. 216); the cell edges are 7.1958, 7.1958 and 7.1958 Å and the angles 90.00°, 90.00° and 90.00°. The asymmetric unit holds Ca at (0.0000, 0.0000, 0.0000), La at (0.2500, 0.2500, 0.2500) and Mo at (0.0000, 0.0000, 0.5000).

---

[24]
Density functional theory data (GGA-PBE) for a relaxed Ho4Ir2Pt crystal.

Its uncorrected energy is -6.9593 eV per atom. The calculation puts the energy above the most stable polymorph in this dataset at 0 meV/atom. The calculation puts the total magnetic moment at 0.0 μB per formula unit. For the formation energy, the calculation gives -949 meV per atom.

The structure belongs to space group R-3m (No. 166, hexagonal axes); the cell edges are 4.8179, 4.8179 and 23.6188 Å and the angles 90.00°, 90.00° and 120.00°. The asymmetric unit holds Ho at (0.0000, 0.0000, 0.1230), Ho at (0.0000, 0.0000, 0.3734), Ir at (0.0000, 0.0000, 0.2502) and Pt at (0.0000, 0.0000, 0.5000).